(1)
LaRh2 | PBE | relaxed

a = 3.9184 Å, b = 5.8263 Å, c = 10.6038 Å
α = 90.00°, β = 90.00°, γ = 90.00°
Last column: nearest neighbours and their distance in Å.
Space group Immm (No. 71)
Symmetry-distinct sites (fractional):
1 La 0.0000 0.0000 0.1757 x4  8 Rh 2.90-3.11
2 Rh 0.0000 0.2352 0.5000 x4  5 Rh 2.72-2.74
3 Rh 0.0000 0.5000 0.1231 x4  5 Rh 2.61-2.72, 2 La 2.90

Computed properties:
The energy of formation is -0.43 eV/atom. The calculation puts the volume at 242.08 Å³ per cell. The crystal system is orthorhombic. The calculation puts the uncorrected energy at -6.97 eV per atom. As for the mass density: 9.5 g/cm3.



(2)
LaRh2 | PBE | relaxed

a = 6.0452 Å, b = 4.2409 Å, c = 8.9975 Å
α = 90.00°, β = 90.00°, γ = 90.00°
Last column: nearest neighbours and their distance in Å.
Space group Pnma (No. 62)
Symmetry-distinct sites (fractional):
1 La 0.1712 0.2500 0.1011 x4  8 Rh 2.84-2.99
2 Rh 0.0916 0.2500 0.7449 x4  4 La 2.87-2.99, 7 Rh 2.94-3.08
3 Rh 0.1429 0.2500 0.4166 x4  4 La 2.84-2.92, 7 Rh 2.94-3.12

Computed properties:
The energy of formation is -0.44 eV/atom. The calculation puts the volume at 230.67 Å³ per cell. The crystal system is orthorhombic. The calculation puts the uncorrected energy at -6.99 eV per atom. As for the mass density: 9.9 g/cm3.